(1)
Rb2TlBr6F | PBE | relaxed

Calculated values
Total DFT energy (no corrections) ... -49.51 eV per cell
Spin magnetization ... 0.000 μB/f.u.
Mass density ... 4.5 Mg/m³
Raw formation energy ... -0.854 eV/atom
DOS at the Fermi energy ... 16.27 states/eV per cell
Volume ... 325.52 Å³/f.u.

Cell: 7.718 7.718 10.930 Å, 90.00 90.00 90.00°
Space group I4/mmm (No. 139)
Inequivalent atoms, fractional coordinates:
Rb  0.000  0.500  0.250 [4 per cell]
Tl  0.000  0.000  0.000 [2 per cell]
Br  0.000  0.000  0.252 [4 per cell]
Br  0.248  0.248  0.500 [8 per cell]
F  0.000  0.000  0.500 [2 per cell]

---

(2)
Rb2TlBrF6 | PBE | relaxed

Calculated values
Total DFT energy (no corrections) ... -70.84 eV per cell
Spin magnetization ... 2.000 μB/f.u.
Mass density ... 4.3 Mg/m³
Raw formation energy ... -1.822 eV/atom
DOS at the Fermi energy ... 0.00 states/eV per cell
Volume ... 219.80 Å³/f.u.

Cell: 6.563 6.563 10.206 Å, 90.00 90.00 90.00°
Space group I4/mmm (No. 139)
Inequivalent atoms, fractional coordinates:
Rb  0.000  0.500  0.250 [4 per cell]
Tl  0.000  0.000  0.000 [2 per cell]
Br  0.000  0.000  0.500 [2 per cell]
F  0.000  0.000  0.210 [4 per cell]
F  0.239  0.239  0.000 [8 per cell]

---

(3)
Rb2UBr5F | PBE | relaxed

Calculated values
Total DFT energy (no corrections) ... -80.20 eV per cell
Spin magnetization ... 2.000 μB/f.u.
Mass density ... 4.0 Mg/m³
Raw formation energy ... -1.849 eV/atom
DOS at the Fermi energy ... 9.70 states/eV per cell
Volume ... 340.92 Å³/f.u.

Cell: 8.082 8.082 10.439 Å, 90.00 90.00 90.00°
Space group I4mm (No. 107)
Inequivalent atoms, fractional coordinates:
Rb  0.000  0.500  0.000 [4 per cell]
U  0.000  0.000  0.252 [2 per cell]
Br  0.000  0.000  0.988 [2 per cell]
Br  0.247  0.247  0.248 [8 per cell]
F  0.000  0.000  0.449 [2 per cell]

---

> What is the formula in the first record?

Rb2TlBr6F

---

> What is the formula in the third record?

Rb2UBr5F

---

> What is the DOS at the Fermi energy in the first record?

16.27 states/eV per cell